This record from Alexandria describes crystalline Sr2TlAg6 at its relaxed geometry. The functional is PBE.

a = 6.1908 Å, b = 6.3948 Å, c = 6.3972 Å
α = 119.99°, β = 89.99°, γ = 90.00°
Sites, in units of the cell vectors:
Ag 0.6603 0.1841 0.8158
Sr 0.8436 0.6666 0.3332
Ag 0.6605 0.1844 0.3688
Sr 0.1564 0.3334 0.6668
Ag 0.6603 0.6317 0.8158
Ag 0.3397 0.3683 0.1842
Ag 0.3397 0.8159 0.1842
Ag 0.3395 0.8156 0.6312
Tl 0.0000 0.0000 0.0000

Values from the calculation:
The value obtained for the calculated volume is 24.373 Å³/atom. Its space-group type is P-3m1. The calculation puts the mass density at 7.77 g/cm3. The total DFT energy (no corrections) is -24.50 eV/cell. As for the calculated formation energy: -184.5 meV/atom.

This record from Alexandria describes crystalline Sr5Tl2Ag at its relaxed geometry. The functional is PBE.

a = 5.6356 Å, b = 7.6507 Å, c = 13.8882 Å
α = 90.00°, β = 90.00°, γ = 90.00°
Sites, in units of the cell vectors:
Tl 0.5000 0.6151 0.1465
Tl 0.5000 0.3849 0.8535
Tl 0.5000 0.8849 0.6465
Sr 0.5000 0.3275 0.5984
Sr 0.5000 0.8275 0.9016
Ag 0.0000 0.5000 0.5000
Sr 0.0000 0.8615 0.2155
Sr 0.0000 0.1385 0.7845
Sr 0.0000 0.6385 0.7155
Ag 0.0000 0.0000 0.0000
Sr 0.0000 0.0000 0.5000
Sr 0.5000 0.1725 0.0984
Sr 0.5000 0.6725 0.4016
Sr 0.0000 0.5000 0.0000
Sr 0.0000 0.3615 0.2845
Tl 0.5000 0.1151 0.3535

Values from the calculation:
The value obtained for the calculated volume is 37.426 Å³/atom. Its space-group type is Pbam. The calculation puts the mass density at 5.30 g/cm3. The total DFT energy (no corrections) is -36.49 eV/cell. As for the calculated formation energy: -281.4 meV/atom.

This record from Alexandria describes crystalline SrTmTlAg at its relaxed geometry. The functional is PBE.

a = 5.4153 Å, b = 5.4153 Å, c = 5.4153 Å
α = 60.00°, β = 60.00°, γ = 60.00°
Sites, in units of the cell vectors:
Sr 0.5000 0.5000 0.5000
Tl 0.2500 0.2500 0.2500
Tm 0.0000 0.0000 0.0000
Ag 0.7500 0.7500 0.7500

Values from the calculation:
The value obtained for the calculated volume is 28.073 Å³/atom. Its space-group type is F-43m. The calculation puts the mass density at 8.41 g/cm3. The total DFT energy (no corrections) is -12.39 eV/cell. As for the calculated formation energy: -253.8 meV/atom.

The lowest calculated volume belongs to which entry?
Sr2TlAg6

calculated volume of number 3 (SrTmTlAg)?
28.073 Å³/atom